Computed, not measured: a relaxed structure of Ho6AlGa2 at the PBE level of DFT.

The structure in POSCAR format:
```
Ho6AlGa2
1.0
-0.9070 -1.8501 -8.2834
1.8162 -6.9501 4.6106
-7.2044 3.0410 3.4219
Ho Al Ga
12 2 4
direct
0.5457 0.7264 0.8192
0.4543 0.2736 0.1808
0.0928 0.2736 0.8192
0.9072 0.7264 0.1808
0.8031 0.7580 0.5611
0.1969 0.2420 0.4389
0.1969 0.7580 0.9550
0.8031 0.2420 0.0450
0.7048 0.3826 0.6778
0.2952 0.6174 0.3222
0.2952 0.9731 0.6778
0.7048 0.0269 0.3222
0.0000 0.5000 0.5000
0.0000 0.0000 0.0000
0.5000 0.3785 0.8785
0.5000 0.6215 0.1215
0.6509 0.0000 0.6509
0.3491 0.0000 0.3491
```

Output
* total DFT energy (no corrections): -4.5364 eV/atom
* energy relative to the elements: -0.396 eV/atom